# 1
A plane-wave DFT calculation with PBE was carried out for an optimized crystal structure of Li5PmSn7.

The calculation puts the energy of formation from the pure elements at -0.323 eV per atom. The calculation puts the density of states at the Fermi level at 9.7 states/eV per cell.

The structure belongs to space group Cm (No. 8); the cell edges are 11.271, 10.184 and 6.004 Å and the angles 90.00°, 122.07° and 90.00°. The inequivalent atoms are Li at (0.000, 0.000, 0.000), Li at (0.495, 0.250, 0.736), Li at (0.499, 0.250, 0.258), Pm at (0.247, 0.500, 0.250), Sn at (0.000, 0.500, 0.505), Sn at (0.094, 0.000, 0.597), Sn at (0.237, 0.179, 0.232), Sn at (0.256, 0.322, 0.759) and Sn at (0.399, 0.000, 0.903).

# 2
A plane-wave DFT calculation with PBE was carried out for an optimized crystal structure of BaNiTe.

The calculation puts the density of states at the Fermi level at 1.1 states/eV per cell. For the energy, the calculation gives -4.457 eV/atom.

The structure belongs to space group P-6m2 (No. 187); the cell edges are 4.4737, 4.4737 and 4.8057 Å and the angles 90.00°, 90.00° and 120.00°. The inequivalent atoms are Ba at (0.0000, 0.0000, 0.0000), Ni at (0.3333, 0.6667, 0.5000) and Te at (0.6667, 0.3333, 0.5000).

# 3
A plane-wave DFT calculation with PBE was carried out for an optimized crystal structure of LiBe2Ag.

The calculation puts the energy of formation from the pure elements at 0.190 eV per atom. The calculation puts the density of states at the Fermi level at 1.1 states/eV per cell. As for the energy above the most stable polymorph in this dataset: 34.9 kJ/mol of formula units.

The structure belongs to space group Pm (No. 6); the cell edges are 2.691, 3.850 and 4.893 Å and the angles 90.00°, 105.32° and 90.00°. The inequivalent atoms are Li at (0.000, 0.000, 0.000), Be at (0.280, 0.000, 0.541), Be at (0.387, 0.500, 0.780) and Ag at (0.669, 0.500, 0.322).

# 4
A plane-wave DFT calculation with PBE was carried out for an optimized crystal structure of BaSr6Mg2.

The calculation puts the energy of formation from the pure elements at 0.051 eV per atom. The calculation puts the density of states at the Fermi level at 11.0 states/eV per cell. As for the energy above the most stable polymorph in this dataset: 44.5 kJ/mol of formula units.

The structure belongs to space group P4/mmm (No. 123); the cell edges are 5.766, 5.766 and 13.607 Å and the angles 90.00°, 90.00° and 90.00°. The inequivalent atoms are Ba at (0.000, 0.000, 0.000), Sr at (0.000, 0.000, 0.500), Sr at (0.000, 0.500, 0.265), Sr at (0.500, 0.500, 0.500) and Mg at (0.500, 0.500, 0.107).

# 5
A plane-wave DFT calculation with PBE was carried out for an optimized crystal structure of Pr2GaPt.

The calculation puts the energy of formation from the pure elements at -0.760 eV per atom. The calculation puts the density of states at the Fermi level at 2.2 states/eV per cell.

The structure belongs to space group P4/mmm (No. 123); the cell edges are 3.673, 3.673 and 7.450 Å and the angles 90.00°, 90.00° and 90.00°. The inequivalent atoms are Pr at (0.000, 0.000, 0.236), Ga at (0.500, 0.500, 0.500) and Pt at (0.500, 0.500, 0.000).

# 6
A plane-wave DFT calculation with PBE was carried out for an optimized crystal structure of TbHo12Sc2.

The calculation puts the energy of formation from the pure elements at 0.118 eV per atom. The calculation puts the density of states at the Fermi level at 44.3 states/eV per cell.

The structure belongs to space group Cmmm (No. 65); the cell edges are 3.537, 54.807 and 4.799 Å and the angles 90.00°, 90.00° and 90.00°. The inequivalent atoms are Tb at (0.000, 0.000, 0.000), Ho at (0.000, 0.066, 0.000), Ho at (0.000, 0.191, 0.000), Ho at (0.000, 0.276, 0.500), Ho at (0.000, 0.340, 0.500), Ho at (0.000, 0.402, 0.500), Ho at (0.000, 0.467, 0.500) and Sc at (0.000, 0.129, 0.000).

# 7
A plane-wave DFT calculation with PBE was carried out for an optimized crystal structure of SrSi2PO8.

The calculation puts the density of states at the Fermi level at 22.1 states/eV per cell. For the energy, the calculation gives -7.010 eV/atom.

The structure belongs to space group R-3m (No. 166, hexagonal axes); the cell edges are 4.9392, 4.9392 and 23.3485 Å and the angles 90.00°, 90.00° and 120.00°. The inequivalent atoms are Sr at (0.0000, 0.0000, 0.0000), Si at (0.0000, 0.0000, 0.2334), P at (0.0000, 0.0000, 0.5000), O at (0.0000, 0.0000, 0.3022) and O at (0.0212, 0.5106, 0.1238).

# 8
A plane-wave DFT calculation with PBE was carried out for an optimized crystal structure of Tb2TiIn.

The calculation puts the energy of formation from the pure elements at -0.091 eV per atom. The calculation puts the density of states at the Fermi level at 21.0 states/eV per cell. As for the energy above the most stable polymorph in this dataset: 5.6 kJ/mol of formula units.

The structure belongs to space group Fm-3m (No. 225); the cell edges are 7.456, 7.456 and 7.456 Å and the angles 90.00°, 90.00° and 90.00°. The inequivalent atoms are Tb at (0.250, 0.250, 0.250), Ti at (0.000, 0.000, 0.000) and In at (0.000, 0.000, 0.500).

Please write out number 6 again, unchanged.
A plane-wave DFT calculation with PBE was carried out for an optimized crystal structure of TbHo12Sc2.

The calculation puts the energy of formation from the pure elements at 0.118 eV per atom. The calculation puts the density of states at the Fermi level at 44.3 states/eV per cell.

The structure belongs to space group Cmmm (No. 65); the cell edges are 3.537, 54.807 and 4.799 Å and the angles 90.00°, 90.00° and 90.00°. The inequivalent atoms are Tb at (0.000, 0.000, 0.000), Ho at (0.000, 0.066, 0.000), Ho at (0.000, 0.191, 0.000), Ho at (0.000, 0.276, 0.500), Ho at (0.000, 0.340, 0.500), Ho at (0.000, 0.402, 0.500), Ho at (0.000, 0.467, 0.500) and Sc at (0.000, 0.129, 0.000).